The following is a GGA-PBE calculation of a relaxed structure of Li9Ac3Tl2, from Alexandria via LeMat-Bulk.

Summary:
Energy = -35.1 eV per cell
Energy of formation from the pure elements = -0.061 eV per atom

Geometry as POSCAR:
```
Li9Ac3Tl2
1.0
-2.490 5.097 7.079
2.490 -5.097 7.079
2.490 5.097 -7.079
Li Ac Tl
9 3 2
Direct
0.000 0.000 0.000 Li
0.095 0.879 0.216 Li
0.175 0.327 0.848 Li
0.337 0.121 0.216 Li
0.479 0.327 0.152 Li
0.521 0.673 0.848 Li
0.663 0.879 0.784 Li
0.825 0.673 0.152 Li
0.905 0.121 0.784 Li
0.195 0.695 0.500 Ac
0.500 0.000 0.500 Ac
0.805 0.305 0.500 Ac
0.207 0.500 0.707 Tl
0.793 0.500 0.293 Tl
```



The following is a GGA-PBE calculation of a relaxed structure of Li2AuBr6, from Alexandria via LeMat-Bulk.

Summary:
E above lowest polymorph = 0.16 eV per formula unit
E_form (uncorrected) = -62.2 kJ per mole of atoms
Energy = -45.9 eV per cell

Geometry as POSCAR:
```
Li2AuBr6
1.0
6.703 0.000 0.000
0.000 6.569 0.000
-5.665 0.000 11.667
Li Au Br
4 2 12
Direct
0.137 0.027 0.163 Li
0.137 0.473 0.663 Li
0.863 0.527 0.337 Li
0.863 0.973 0.837 Li
0.500 0.000 0.000 Au
0.500 0.500 0.500 Au
0.147 0.239 0.834 Br
0.147 0.261 0.334 Br
0.204 0.724 0.509 Br
0.204 0.776 0.009 Br
0.480 0.212 0.157 Br
0.480 0.288 0.657 Br
0.520 0.712 0.343 Br
0.520 0.788 0.843 Br
0.796 0.224 0.991 Br
0.796 0.276 0.491 Br
0.853 0.739 0.666 Br
0.853 0.761 0.166 Br
```



The following is a GGA-PBE calculation of a relaxed structure of Al2Mo2Ir, from Alexandria via LeMat-Bulk.

Summary:
Energy = -77.1 eV per cell
Energy of formation from the pure elements = -0.113 eV per atom

Geometry as POSCAR:
```
Al2Mo2Ir
1.0
6.419 0.000 0.000
0.000 6.419 0.000
0.000 0.000 3.668
Al Mo Ir
4 4 2
Direct
0.137 0.363 0.000 Al
0.363 0.863 0.000 Al
0.637 0.137 0.000 Al
0.863 0.637 0.000 Al
0.167 0.667 0.500 Mo
0.333 0.167 0.500 Mo
0.667 0.833 0.500 Mo
0.833 0.333 0.500 Mo
0.000 0.000 0.000 Ir
0.500 0.500 0.000 Ir
```



The following is a GGA-PBE calculation of a relaxed structure of DyLuHg, from Alexandria via LeMat-Bulk.

Summary:
E above lowest polymorph = 0.00 eV per formula unit
Energy = -10.3 eV per cell
Energy of formation from the pure elements = -0.296 eV per atom

Geometry as POSCAR:
```
DyLuHg
1.0
-1.783 1.783 6.395
1.783 -1.783 6.395
1.783 1.783 -6.395
Dy Lu Hg
1 1 1
Direct
0.000 0.000 0.000 Dy
0.691 0.691 0.000 Lu
0.340 0.340 0.000 Hg
```



The following is a GGA-PBE calculation of a relaxed structure of La2ErAg5, from Alexandria via LeMat-Bulk.

Summary:
Energy = -30.3 eV per cell
Energy of formation from the pure elements = -0.203 eV per atom

Geometry as POSCAR:
```
La2ErAg5
1.0
-2.578 2.578 7.324
2.578 -2.578 7.324
2.578 2.578 -7.324
La Er Ag
2 1 5
Direct
0.229 0.229 0.000 La
0.771 0.771 0.000 La
0.500 0.500 0.000 Er
0.000 0.000 0.000 Ag
0.107 0.607 0.500 Ag
0.393 0.893 0.500 Ag
0.607 0.107 0.500 Ag
0.893 0.393 0.500 Ag
```



The following is a GGA-PBE calculation of a relaxed structure of Na2AsHO4, from Alexandria via LeMat-Bulk.

Summary:
Energy = -85.0 eV per cell

Geometry as POSCAR:
```
Na2AsHO4
1.0
8.206 0.000 0.000
0.000 6.090 0.000
0.000 0.000 4.740
Na As H O
4 2 2 8
Direct
0.227 0.192 0.000 Na
0.273 0.808 0.500 Na
0.727 0.808 0.500 Na
0.773 0.192 0.000 Na
0.000 0.675 0.045 As
0.500 0.325 0.545 As
0.000 0.506 0.513 H
0.500 0.494 0.013 H
0.000 0.411 0.925 O
0.000 0.655 0.431 O
0.176 0.816 0.988 O
0.324 0.184 0.488 O
0.500 0.345 0.931 O
0.500 0.589 0.425 O
0.676 0.184 0.488 O
0.824 0.816 0.988 O
```



The following is a GGA-PBE calculation of a relaxed structure of ScBeAu3, from Alexandria via LeMat-Bulk.

Summary:
E above lowest polymorph = 0.29 eV per formula unit
Energy = -21.3 eV per cell
Energy of formation from the pure elements = -0.288 eV per atom

Geometry as POSCAR:
```
ScBeAu3
1.0
4.476 0.000 0.000
0.000 4.476 0.000
0.000 0.000 4.476
Sc Be Au
1 1 3
Direct
0.000 0.000 0.000 Sc
0.500 0.500 0.500 Be
0.000 0.500 0.500 Au
0.500 0.000 0.500 Au
0.500 0.500 0.000 Au
```



The following is a GGA-PBE calculation of a relaxed structure of NaBiPtPb, from Alexandria via LeMat-Bulk.

Summary:
Energy = -15.7 eV per cell
Energy of formation from the pure elements = -0.175 eV per atom

Geometry as POSCAR:
```
NaBiPtPb
1.0
0.000 3.593 3.593
3.593 0.000 3.593
3.593 3.593 0.000
Na Bi Pt Pb
1 1 1 1
Direct
0.000 0.000 0.000 Na
0.750 0.750 0.750 Bi
0.500 0.500 0.500 Pt
0.250 0.250 0.250 Pb
```